# SrLiCd2

A geometry-optimized SrLiCd2 structure (PBE, Alexandria). Values from VASP.

Cell and atoms, written as Quantum ESPRESSO input:
```
&SYSTEM
  ibrav = 0, nat = 32, ntyp = 3
/
ATOMIC_SPECIES
Sr 87.62 Sr.upf
Li 6.94 Li.upf
Cd 112.41 Cd.upf
CELL_PARAMETERS angstrom
16.875 0.000 0.000
0.000 8.179 0.000
0.000 0.000 5.996
ATOMIC_POSITIONS crystal
Sr 0.107 0.250 0.250
Sr 0.137 0.750 0.033
Sr 0.363 0.250 0.533
Sr 0.393 0.750 0.750
Sr 0.607 0.250 0.250
Sr 0.637 0.750 0.467
Sr 0.863 0.250 0.967
Sr 0.893 0.750 0.750
Li 0.070 0.750 0.523
Li 0.188 0.250 0.770
Li 0.312 0.750 0.270
Li 0.430 0.250 0.023
Li 0.570 0.750 0.977
Li 0.688 0.250 0.730
Li 0.812 0.750 0.230
Li 0.930 0.250 0.477
Cd 0.039 0.061 0.741
Cd 0.039 0.439 0.741
Cd 0.212 0.558 0.557
Cd 0.212 0.942 0.557
Cd 0.288 0.058 0.057
Cd 0.288 0.442 0.057
Cd 0.461 0.561 0.241
Cd 0.461 0.939 0.241
Cd 0.539 0.061 0.759
Cd 0.539 0.439 0.759
Cd 0.712 0.558 0.943
Cd 0.712 0.942 0.943
Cd 0.788 0.058 0.443
Cd 0.788 0.442 0.443
Cd 0.961 0.561 0.259
Cd 0.961 0.939 0.259
```

Electronic total energy ... -0.120 Ry per atom
V ... 25.86 Å³/atom
SG ... Pnma (62)